1.
A relaxed structure of Th14ZrSc. Source: the Alexandria database, functional PBE-GGA.

Results
- DOS(E_F): 22.281 states/eV per cell
- Calculated total energy: -7.367 eV per atom
- Formation energy: 0.06 eV per atom

```
Th14ZrSc
1.0
11.435 0.000 0.000
0.000 3.560 6.153
0.000 -3.560 6.153
Th Zr Sc
14 1 1
Direct
0.000 0.000 0.000 Th
0.000 0.003 0.500 Th
0.000 0.500 0.003 Th
0.000 0.500 0.500 Th
0.251 0.170 0.170 Th
0.251 0.669 0.669 Th
0.257 0.166 0.668 Th
0.257 0.668 0.166 Th
0.500 0.338 0.839 Th
0.500 0.839 0.338 Th
0.743 0.166 0.668 Th
0.743 0.668 0.166 Th
0.749 0.170 0.170 Th
0.749 0.669 0.669 Th
0.500 0.827 0.827 Zr
0.500 0.333 0.333 Sc
```

2.
A relaxed structure of Th2ZrSc3. Source: the Alexandria database, functional PBE-GGA.

Results
- DOS(E_F): 20.127 states/eV per cell
- Calculated total energy: -6.932 eV per atom
- Energy relative to the lowest polymorph listed for this composition: 100 meV/atom
- Formation energy: 0.13 eV per atom

```
Th2ZrSc3
1.0
6.563 0.000 0.000
0.000 9.196 0.000
0.000 0.000 5.317
Th Zr Sc
4 2 6
Direct
0.247 0.165 0.000 Th
0.253 0.665 0.500 Th
0.747 0.335 0.500 Th
0.753 0.835 0.000 Th
0.000 0.000 0.500 Zr
0.500 0.500 0.000 Zr
0.000 0.500 0.000 Sc
0.249 0.833 0.000 Sc
0.251 0.333 0.500 Sc
0.500 0.000 0.500 Sc
0.749 0.667 0.500 Sc
0.751 0.167 0.000 Sc
```

3.
A relaxed structure of ThZr2Sc. Source: the Alexandria database, functional PBE-GGA.

Results
- DOS(E_F): 9.979 states/eV per cell
- Calculated total energy: -7.562 eV per atom
- Energy relative to the lowest polymorph listed for this composition: 112 meV/atom
- Formation energy: 0.15 eV per atom

```
ThZr2Sc
1.0
0.000 3.698 3.698
3.698 0.000 3.698
3.698 3.698 0.000
Th Zr Sc
1 2 1
Direct
0.000 0.000 0.000 Th
0.250 0.250 0.250 Zr
0.750 0.750 0.750 Zr
0.500 0.500 0.500 Sc
```

4.
A relaxed structure of Th2ZrSc8. Source: the Alexandria database, functional PBE-GGA.

Results
- DOS(E_F): 18.001 states/eV per cell
- Calculated total energy: -6.508 eV per atom
- Energy relative to the lowest polymorph listed for this composition: 17 meV/atom
- Formation energy: 0.22 eV per atom

```
Th2ZrSc8
1.0
4.106 -7.496 0.000
4.106 7.496 0.000
-2.860 0.000 4.665
Th Zr Sc
2 1 8
Direct
0.195 0.805 0.000 Th
0.805 0.195 0.000 Th
0.500 0.500 0.500 Zr
0.086 0.086 0.296 Sc
0.177 0.396 0.824 Sc
0.297 0.703 0.500 Sc
0.396 0.177 0.824 Sc
0.604 0.823 0.176 Sc
0.703 0.297 0.500 Sc
0.823 0.604 0.176 Sc
0.914 0.914 0.704 Sc
```

5.
A relaxed structure of Th4ZrSc. Source: the Alexandria database, functional PBE-GGA.

Results
- DOS(E_F): 18.076 states/eV per cell
- Calculated total energy: -7.241 eV per atom
- Formation energy: 0.19 eV per atom

```
Th4ZrSc
1.0
3.172 -9.388 0.000
3.172 9.388 0.000
-0.204 0.000 6.044
Th Zr Sc
8 2 2
Direct
0.124 0.384 0.648 Th
0.194 0.295 0.137 Th
0.295 0.194 0.637 Th
0.384 0.124 0.148 Th
0.616 0.876 0.852 Th
0.705 0.806 0.363 Th
0.806 0.705 0.863 Th
0.876 0.616 0.352 Th
0.210 0.790 0.750 Zr
0.790 0.210 0.250 Zr
0.287 0.713 0.250 Sc
0.713 0.287 0.750 Sc
```

6.
A relaxed structure of ThZrSc5. Source: the Alexandria database, functional PBE-GGA.

Results
- DOS(E_F): 24.158 states/eV per cell
- Calculated total energy: -6.558 eV per atom
- Formation energy: 0.25 eV per atom

```
ThZrSc5
1.0
5.151 -5.833 0.000
5.151 5.833 0.000
-1.977 0.000 6.093
Th Zr Sc
2 2 10
Direct
0.150 0.850 0.750 Th
0.850 0.150 0.250 Th
0.000 0.500 0.000 Zr
0.500 0.000 0.500 Zr
0.120 0.880 0.250 Sc
0.226 0.278 0.647 Sc
0.278 0.226 0.147 Sc
0.336 0.599 0.462 Sc
0.401 0.664 0.038 Sc
0.599 0.336 0.962 Sc
0.664 0.401 0.538 Sc
0.722 0.774 0.853 Sc
0.774 0.722 0.353 Sc
0.880 0.120 0.750 Sc
```

7.
A relaxed structure of ThZr2Sc. Source: the Alexandria database, functional PBE-GGA.

Results
- DOS(E_F): 5.299 states/eV per cell
- Calculated total energy: -7.600 eV per atom
- Energy relative to the lowest polymorph listed for this composition: 74 meV/atom
- Formation energy: 0.11 eV per atom

```
ThZr2Sc
1.0
1.672 0.965 10.602
-1.672 0.965 10.602
0.000 -1.931 10.602
Th Zr Sc
1 2 1
Direct
0.000 0.000 0.000 Th
0.248 0.248 0.248 Zr
0.752 0.752 0.752 Zr
0.500 0.500 0.500 Sc
```

8.
A relaxed structure of ThZr2Sc5. Source: the Alexandria database, functional PBE-GGA.

Results
- DOS(E_F): 28.631 states/eV per cell
- Calculated total energy: -6.953 eV per atom
- Energy relative to the lowest polymorph listed for this composition: 42 meV/atom
- Formation energy: 0.07 eV per atom

```
ThZr2Sc5
1.0
7.536 0.000 0.000
0.000 15.359 0.000
0.000 0.000 3.451
Th Zr Sc
2 4 10
Direct
0.000 0.000 0.000 Th
0.500 0.500 0.000 Th
0.228 0.370 0.500 Zr
0.272 0.870 0.500 Zr
0.728 0.130 0.500 Zr
0.772 0.630 0.500 Zr
0.000 0.500 0.000 Sc
0.017 0.227 0.000 Sc
0.192 0.637 0.500 Sc
0.308 0.137 0.500 Sc
0.483 0.727 0.000 Sc
0.500 0.000 0.000 Sc
0.517 0.273 0.000 Sc
0.692 0.863 0.500 Sc
0.808 0.363 0.500 Sc
0.983 0.773 0.000 Sc
```

9.
A relaxed structure of Th2Zr2Sc15. Source: the Alexandria database, functional PBE-GGA.

Results
- DOS(E_F): 41.022 states/eV per cell
- Calculated total energy: -6.407 eV per atom
- Formation energy: 0.27 eV per atom

```
Th2Zr2Sc15
1.0
5.114 2.953 5.488
-5.114 2.953 5.488
0.000 -5.905 5.488
Th Zr Sc
2 2 15
Direct
0.170 0.170 0.170 Th
0.830 0.830 0.830 Th
0.418 0.418 0.418 Zr
0.582 0.582 0.582 Zr
0.000 0.500 0.500 Sc
0.139 0.139 0.644 Sc
0.139 0.644 0.139 Sc
0.202 0.500 0.798 Sc
0.202 0.798 0.500 Sc
0.356 0.861 0.861 Sc
0.500 0.000 0.500 Sc
0.500 0.202 0.798 Sc
0.500 0.500 0.000 Sc
0.500 0.798 0.202 Sc
0.644 0.139 0.139 Sc
0.798 0.202 0.500 Sc
0.798 0.500 0.202 Sc
0.861 0.356 0.861 Sc
0.861 0.861 0.356 Sc
```

10.
A relaxed structure of ThZr4Sc. Source: the Alexandria database, functional PBE-GGA.

Results
- DOS(E_F): 13.728 states/eV per cell
- Calculated total energy: -7.949 eV per atom
- Formation energy: 0.04 eV per atom

```
ThZr4Sc
1.0
5.694 0.000 0.000
0.055 6.232 0.000
0.048 1.143 8.407
Th Zr Sc
2 8 2
Direct
0.167 0.174 0.086 Th
0.833 0.826 0.914 Th
0.161 0.827 0.421 Zr
0.181 0.496 0.742 Zr
0.336 0.332 0.425 Zr
0.340 0.002 0.737 Zr
0.660 0.998 0.263 Zr
0.664 0.668 0.575 Zr
0.819 0.504 0.258 Zr
0.839 0.173 0.579 Zr
0.341 0.671 0.089 Sc
0.659 0.329 0.911 Sc
```

11.
A relaxed structure of ThZr4Sc3. Source: the Alexandria database, functional PBE-GGA.

Results
- DOS(E_F): 10.468 states/eV per cell
- Calculated total energy: -7.557 eV per atom
- Formation energy: 0.02 eV per atom

```
ThZr4Sc3
1.0
10.799 -1.643 0.000
10.799 1.643 0.000
-1.431 0.000 5.535
Th Zr Sc
1 4 3
Direct
0.000 0.000 0.000 Th
0.128 0.128 0.798 Zr
0.251 0.251 0.252 Zr
0.749 0.749 0.748 Zr
0.872 0.872 0.202 Zr
0.370 0.370 0.692 Sc
0.500 0.500 0.500 Sc
0.630 0.630 0.308 Sc
```

12.
A relaxed structure of Th2Zr2Sc3. Source: the Alexandria database, functional PBE-GGA.

Results
- DOS(E_F): 8.194 states/eV per cell
- Calculated total energy: -7.233 eV per atom
- Formation energy: 0.04 eV per atom

```
Th2Zr2Sc3
1.0
3.325 0.000 0.000
-1.662 5.473 0.000
-0.008 -1.213 9.985
Th Zr Sc
2 2 3
Direct
0.074 0.150 0.283 Th
0.926 0.850 0.717 Th
0.210 0.422 0.868 Zr
0.790 0.578 0.132 Zr
0.356 0.714 0.423 Sc
0.500 0.000 0.000 Sc
0.644 0.286 0.577 Sc
```